Entry 1:
The following is a PBE calculation of a relaxed Y2AgSnH crystal, from Alexandria via LeMat-Bulk.

ΔE to the lowest computed polymorph ... 744.9 meV per atom
Spin magnetization ... 0.00 Bohr magnetons per cell

Unit cell a=5.925 b=5.925 c=3.758 alpha=90.00 beta=90.00 gamma=90.00
Fractional coordinates of all 5 atoms:
Y  0.000  0.500  0.000
Y  0.500  0.000  0.000
Ag  0.000  0.000  0.500
Sn  0.500  0.500  0.000
H  0.500  0.500  0.500

=====

Entry 2:
The following is a PBE calculation of a relaxed Y2AgSnH crystal, from Alexandria via LeMat-Bulk.

ΔE to the lowest computed polymorph ... 0.0 meV per atom
Spin magnetization ... 0.81 Bohr magnetons per cell

Unit cell a=4.832 b=4.832 c=4.328 alpha=90.00 beta=90.00 gamma=90.00
Fractional coordinates of all 5 atoms:
Y  0.000  0.500  0.000
Y  0.500  0.000  0.000
Ag  0.000  0.000  0.500
Sn  0.500  0.500  0.500
H  0.000  0.000  0.000

=====

Entry 3:
The following is a PBE calculation of a relaxed ZrAg2SnH crystal, from Alexandria via LeMat-Bulk.

Uncorrected energy ... -4.481 eV per atom
Spin magnetization ... 0.00 Bohr magnetons per cell

Unit cell a=4.317 b=4.317 c=4.441 alpha=90.00 beta=90.00 gamma=90.00
Fractional coordinates of all 5 atoms:
Zr  0.000  0.000  0.000
Ag  0.000  0.500  0.500
Ag  0.500  0.000  0.500
Sn  0.500  0.500  0.000
H  0.000  0.000  0.500